# Ba2TaPdBr

An optimized crystal structure of Ba2TaPdBr (PBE, the Alexandria database).

The space group is P4/mmm (No. 123) and the conventional cell measures 6.189, 6.189 and 4.795 Å, with angles of 90.00, 90.00 and 90.00 degrees. The asymmetric unit holds Ba at (0.000, 0.500, 0.000), Ta at (0.000, 0.000, 0.500), Pd at (0.500, 0.500, 0.500) and Br at (0.000, 0.000, 0.000).

The total magnetic moment comes out at 2.0 μB/cell. The formation energy from raw total energies is 0.470 eV/atom.